Entry 1:
Here is Dy12CdPd6 after structural relaxation from the Alexandria database. Energies are from PBE.

Values from the calculation:
- E above lowest polymorph (meV per atom) = 0
- formation energy from the elements (eV/atom) = -0.586
- density (g/cm³) = 9.12
- D(E_F) (states/eV/cell) = 20.474
- raw total energy (eV per cell) = -98.43
- SG = Im-3, No. 204

POSCAR file:
```
Dy12CdPd6
1.0
-4.972 4.972 4.972
4.972 -4.972 4.972
4.972 4.972 -4.972
Dy Cd Pd
12 1 6
Cartesian
4.972 -2.027 3.154 Dy
2.946 1.818 0.000 Dy
6.999 1.818 0.000 Dy
3.154 4.972 -2.027 Dy
1.818 0.000 2.946 Dy
0.000 2.946 1.818 Dy
4.972 2.027 3.154 Dy
3.154 4.972 2.027 Dy
1.818 0.000 6.999 Dy
-2.027 3.154 4.972 Dy
2.027 3.154 4.972 Dy
0.000 6.999 1.818 Dy
0.000 0.000 0.000 Cd
4.972 0.000 1.361 Pd
4.972 3.611 0.000 Pd
1.361 4.972 0.000 Pd
3.611 0.000 4.972 Pd
0.000 1.361 4.972 Pd
0.000 4.972 3.611 Pd
```

---

Entry 2:
Here is DyCd3Pd3 after structural relaxation from the Alexandria database. Energies are from PBE.

Values from the calculation:
- formation energy from the elements (eV/atom) = -0.473
- density (g/cm³) = 9.49
- D(E_F) (states/eV/cell) = 2.530
- raw total energy (eV per cell) = -26.24
- SG = R-3m, No. 166

POSCAR file:
```
DyCd3Pd3
1.0
4.669 2.696 1.898
-4.669 2.696 1.898
0.000 -5.392 1.898
Dy Cd Pd
1 3 3
Cartesian
0.000 0.000 0.000 Dy
-2.335 -1.348 1.898 Cd
-2.335 1.348 3.795 Cd
0.000 2.696 1.898 Cd
-4.669 0.000 2.847 Pd
-2.335 1.348 0.949 Pd
2.335 1.348 0.949 Pd
```

---

Entry 3:
Here is DyCd7Pd4 after structural relaxation from the Alexandria database. Energies are from PBE.

Values from the calculation:
- formation energy from the elements (eV/atom) = -0.123
- density (g/cm³) = 8.94
- D(E_F) (states/eV/cell) = 5.593
- raw total energy (eV per cell) = -33.25
- SG = C2/m, No. 12

POSCAR file:
```
DyCd7Pd4
1.0
6.083 -2.613 0.000
6.083 2.613 0.000
-5.737 0.000 8.033
Dy Cd Pd
1 7 4
Cartesian
0.000 0.000 0.000 Dy
-1.333 0.000 2.954 Cd
-2.405 0.000 7.033 Cd
1.699 0.000 3.254 Cd
6.083 0.000 0.000 Cd
4.730 0.000 4.779 Cd
8.834 0.000 1.000 Cd
7.761 0.000 5.079 Cd
-0.116 0.000 5.374 Pd
3.916 0.000 1.719 Pd
2.512 0.000 6.314 Pd
6.545 0.000 2.659 Pd
```

---

Entry 4:
Here is DyCd2Pd8 after structural relaxation from the Alexandria database. Energies are from PBE.

Values from the calculation:
- formation energy from the elements (eV/atom) = -0.477
- density (g/cm³) = 11.03
- D(E_F) (states/eV/cell) = 3.600
- raw total energy (eV per cell) = -53.22
- SG = C2/m, No. 12

POSCAR file:
```
DyCd2Pd8
1.0
7.272 -2.077 0.000
7.272 2.077 0.000
-1.714 0.000 6.172
Dy Cd Pd
1 2 8
Cartesian
0.000 0.000 0.000 Dy
3.398 0.000 2.176 Cd
9.431 0.000 3.996 Cd
0.539 0.000 2.848 Pd
1.075 0.000 5.626 Pd
3.861 0.000 5.035 Pd
6.181 0.000 1.721 Pd
6.648 0.000 4.451 Pd
8.968 0.000 1.137 Pd
11.754 0.000 0.546 Pd
12.290 0.000 3.324 Pd
```

---

Entry 5:
Here is Dy6CdPd after structural relaxation from the Alexandria database. Energies are from PBE.

Values from the calculation:
- formation energy from the elements (eV/atom) = 0.001
- density (g/cm³) = 7.70
- D(E_F) (states/eV/cell) = 12.535
- raw total energy (eV per cell) = -33.71
- SG = P-1, No. 2

POSCAR file:
```
Dy6CdPd
1.0
7.028 0.000 0.000
-3.482 6.118 0.000
-3.470 -2.035 5.990
Dy Cd Pd
6 1 1
Cartesian
-0.913 -0.088 1.520 Dy
-1.340 3.903 1.512 Dy
-2.269 1.759 4.475 Dy
2.344 2.323 1.515 Dy
1.416 0.180 4.478 Dy
0.989 4.171 4.470 Dy
3.514 0.000 0.000 Cd
0.038 2.041 2.995 Pd
```

---

Entry 6:
Here is DyCd4Pd after structural relaxation from the Alexandria database. Energies are from PBE.

Values from the calculation:
- formation energy from the elements (eV/atom) = -0.257
- density (g/cm³) = 8.82
- D(E_F) (states/eV/cell) = 5.084
- raw total energy (eV per cell) = -29.99
- SG = C2/m, No. 12

POSCAR file:
```
DyCd4Pd
1.0
6.741 -3.754 0.000
6.741 3.754 0.000
-1.449 0.000 5.344
Dy Cd Pd
2 8 2
Cartesian
2.729 0.000 0.730 Dy
9.303 0.000 4.614 Dy
4.446 2.334 2.289 Cd
6.741 2.209 0.000 Cd
7.587 2.334 3.055 Cd
3.599 0.000 3.898 Cd
8.434 0.000 1.446 Cd
4.446 -2.334 2.289 Cd
6.741 -2.209 0.000 Cd
7.587 -2.334 3.055 Cd
5.468 0.000 1.318 Pd
6.565 0.000 4.026 Pd
```

---

Entry 7:
Here is DyCd2Pd4 after structural relaxation from the Alexandria database. Energies are from PBE.

Values from the calculation:
- E above lowest polymorph (meV per atom) = 0
- formation energy from the elements (eV/atom) = -0.547
- density (g/cm³) = 10.56
- D(E_F) (states/eV/cell) = 5.330
- raw total energy (eV per cell) = -62.07
- SG = P1, No. 1

POSCAR file:
```
DyCd2Pd4
1.0
5.850 0.000 0.000
-1.621 6.578 0.000
-0.342 -2.837 6.642
Dy Cd Pd
2 4 8
Cartesian
0.000 0.000 0.000 Dy
0.026 1.064 5.613 Dy
0.067 4.483 2.061 Cd
1.797 -1.390 4.868 Cd
3.154 0.690 2.941 Cd
2.978 4.476 1.983 Cd
0.237 0.464 2.824 Pd
1.642 2.199 1.000 Pd
1.566 2.841 3.979 Pd
1.402 6.320 0.265 Pd
2.933 1.107 5.806 Pd
4.559 -1.217 4.630 Pd
4.568 2.241 0.945 Pd
4.497 2.932 3.919 Pd
```

---

Entry 8:
Here is Dy3CdPd after structural relaxation from the Alexandria database. Energies are from PBE.

Values from the calculation:
- formation energy from the elements (eV/atom) = -0.315
- density (g/cm³) = 8.15
- D(E_F) (states/eV/cell) = 10.275
- raw total energy (eV per cell) = -42.98
- SG = Cmmm, No. 65

POSCAR file:
```
Dy3CdPd
1.0
4.978 -7.499 0.000
4.978 7.499 0.000
0.000 0.000 3.853
Dy Cd Pd
6 2 2
Cartesian
4.978 4.926 0.000 Dy
3.027 1.756 1.927 Dy
3.027 -1.756 1.927 Dy
6.929 1.756 1.927 Dy
6.929 -1.756 1.927 Dy
4.978 -4.926 0.000 Dy
0.000 0.000 1.927 Cd
4.978 0.000 0.000 Cd
2.489 3.750 0.000 Pd
2.489 -3.750 0.000 Pd
```

---

Entry 9:
Here is Dy8Cd2Pd after structural relaxation from the Alexandria database. Energies are from PBE.

Values from the calculation:
- formation energy from the elements (eV/atom) = -0.223
- density (g/cm³) = 8.78
- D(E_F) (states/eV/cell) = 10.219
- raw total energy (eV per cell) = -46.29
- SG = C2/m, No. 12

POSCAR file:
```
Dy8Cd2Pd
1.0
8.843 -2.650 0.000
8.843 2.650 0.000
-2.180 0.000 6.583
Dy Cd Pd
8 2 1
Cartesian
-0.223 0.000 1.824 Dy
1.781 0.000 5.210 Dy
4.930 0.000 3.595 Dy
7.090 0.000 0.418 Dy
8.416 0.000 6.165 Dy
10.575 0.000 2.987 Dy
13.725 0.000 1.373 Dy
15.729 0.000 4.759 Dy
2.813 0.000 1.408 Cd
12.693 0.000 5.175 Cd
7.753 0.000 3.291 Pd
```

---

Entry 10:
Here is Dy5Cd4Pd after structural relaxation from the Alexandria database. Energies are from PBE.

Values from the calculation:
- formation energy from the elements (eV/atom) = -0.431
- density (g/cm³) = 9.03
- D(E_F) (states/eV/cell) = 9.029
- raw total energy (eV per cell) = -36.18
- SG = P4/mmm, No. 123

POSCAR file:
```
Dy5Cd4Pd
1.0
3.679 0.000 0.000
0.000 3.679 0.000
0.000 0.000 18.594
Dy Cd Pd
5 4 1
Cartesian
0.000 0.000 0.000 Dy
0.000 0.000 3.826 Dy
0.000 0.000 7.650 Dy
0.000 0.000 10.945 Dy
0.000 0.000 14.768 Dy
1.840 1.840 1.917 Cd
1.840 1.840 5.693 Cd
1.840 1.840 12.901 Cd
1.840 1.840 16.677 Cd
1.840 1.840 9.297 Pd
```

---

Entry 11:
Here is DyCd4Pd7 after structural relaxation from the Alexandria database. Energies are from PBE.

Values from the calculation:
- formation energy from the elements (eV/atom) = -0.297
- density (g/cm³) = 9.76
- D(E_F) (states/eV/cell) = 3.702
- raw total energy (eV per cell) = -48.18
- SG = C2/m, No. 12

POSCAR file:
```
DyCd4Pd7
1.0
5.326 -2.510 0.000
5.326 2.510 0.000
-5.037 0.000 8.640
Dy Cd Pd
1 4 7
Cartesian
0.000 0.000 0.000 Dy
-0.714 0.000 5.769 Cd
3.250 0.000 1.986 Cd
2.366 0.000 6.655 Cd
6.329 0.000 2.871 Cd
-1.097 0.000 2.940 Pd
-2.340 0.000 7.945 Pd
1.427 0.000 4.061 Pd
5.326 0.000 0.000 Pd
4.189 0.000 4.580 Pd
7.956 0.000 0.695 Pd
6.713 0.000 5.701 Pd
```

---

Entry 12:
Here is DyCdPd2 after structural relaxation from the Alexandria database. Energies are from PBE.

Values from the calculation:
- E above lowest polymorph (meV per atom) = 19
- formation energy from the elements (eV/atom) = -0.721
- density (g/cm³) = 10.47
- D(E_F) (states/eV/cell) = 3.441
- raw total energy (eV per cell) = -37.57
- SG = Pmmn, No. 59

POSCAR file:
```
DyCdPd2
1.0
4.961 0.000 0.000
0.000 6.208 0.000
0.000 0.000 5.026
Dy Cd Pd
2 2 4
Cartesian
1.240 1.552 1.072 Dy
3.720 4.656 3.954 Dy
1.240 4.656 1.139 Cd
3.720 1.552 3.887 Cd
1.240 0.004 3.574 Pd
1.240 3.100 3.574 Pd
3.720 3.108 1.452 Pd
3.720 6.204 1.452 Pd
```

---

Entry 13:
Here is Dy4CdPd3 after structural relaxation from the Alexandria database. Energies are from PBE.

Values from the calculation:
- formation energy from the elements (eV/atom) = -0.719
- density (g/cm³) = 9.91
- D(E_F) (states/eV/cell) = 6.088
- raw total energy (eV per cell) = -40.65
- SG = P4/mmm, No. 123

POSCAR file:
```
Dy4CdPd3
1.0
5.034 0.000 0.000
0.000 5.034 0.000
0.000 0.000 7.151
Dy Cd Pd
4 1 3
Cartesian
0.000 2.517 1.713 Dy
0.000 2.517 5.438 Dy
2.517 0.000 1.713 Dy
2.517 0.000 5.438 Dy
0.000 0.000 3.576 Cd
0.000 0.000 0.000 Pd
2.517 2.517 0.000 Pd
2.517 2.517 3.576 Pd
```

---

Entry 14:
Here is Dy2Cd2Pd3 after structural relaxation from the Alexandria database. Energies are from PBE.

Values from the calculation:
- E above lowest polymorph (meV per atom) = 10
- formation energy from the elements (eV/atom) = -0.684
- density (g/cm³) = 9.65
- D(E_F) (states/eV/cell) = 3.293
- raw total energy (eV per cell) = -31.40
- SG = P-1, No. 2

POSCAR file:
```
Dy2Cd2Pd3
1.0
4.845 0.000 0.000
-2.417 4.221 0.000
-0.049 -2.751 7.314
Dy Cd Pd
2 2 3
Cartesian
-0.021 0.032 2.470 Dy
2.400 1.438 4.844 Dy
-0.010 2.841 0.787 Cd
2.389 -1.371 6.527 Cd
-0.023 0.022 5.342 Pd
2.398 -1.375 3.657 Pd
2.402 1.448 1.972 Pd
```

---

Entry 15:
Here is Dy12CdPd6 after structural relaxation from the Alexandria database. Energies are from PBE.

Values from the calculation:
- E above lowest polymorph (meV per atom) = 107
- formation energy from the elements (eV/atom) = -0.479
- density (g/cm³) = 8.69
- D(E_F) (states/eV/cell) = 16.717
- raw total energy (eV per cell) = -96.41
- SG = R-3, No. 148

POSCAR file:
```
Dy12CdPd6
1.0
7.061 4.076 2.989
-7.061 4.076 2.989
0.000 -8.153 2.989
Dy Cd Pd
12 1 6
Cartesian
-0.451 -2.166 1.577 Dy
-1.651 1.474 1.577 Dy
-3.289 -0.493 3.827 Dy
2.102 0.693 1.577 Dy
-1.217 -3.095 5.140 Dy
2.072 -2.602 3.827 Dy
-2.072 2.602 5.140 Dy
1.217 3.095 3.827 Dy
-2.102 -0.693 7.390 Dy
3.289 0.493 5.140 Dy
1.651 -1.474 7.390 Dy
0.451 2.166 7.390 Dy
0.000 0.000 4.483 Cd
-4.024 -2.943 4.955 Pd
-4.561 2.013 4.012 Pd
0.537 -4.956 4.012 Pd
-0.537 4.956 4.955 Pd
4.561 -2.013 4.955 Pd
4.024 2.943 4.012 Pd
```

---

Entry 16:
Here is DyCd2Pd3 after structural relaxation from the Alexandria database. Energies are from PBE.

Values from the calculation:
- E above lowest polymorph (meV per atom) = 8
- formation energy from the elements (eV/atom) = -0.607
- density (g/cm³) = 10.41
- D(E_F) (states/eV/cell) = 3.287
- raw total energy (eV per cell) = -25.66
- SG = P-3m1, No. 164

POSCAR file:
```
DyCd2Pd3
1.0
4.767 0.000 0.000
-2.383 4.128 0.000
0.000 0.000 5.728
Dy Cd Pd
1 2 3
Cartesian
0.000 0.000 0.000 Dy
0.000 2.752 3.833 Cd
2.383 1.376 1.895 Cd
0.000 0.000 2.864 Pd
0.000 2.752 1.030 Pd
2.383 1.376 4.698 Pd
```

---

Entry 17:
Here is DyCd2Pd2 after structural relaxation from the Alexandria database. Energies are from PBE.

Values from the calculation:
- E above lowest polymorph (meV per atom) = 3
- formation energy from the elements (eV/atom) = -0.545
- density (g/cm³) = 9.15
- D(E_F) (states/eV/cell) = 2.326
- raw total energy (eV per cell) = -19.54
- SG = C2/m, No. 12

POSCAR file:
```
DyCd2Pd2
1.0
4.116 -2.377 0.000
4.116 2.377 0.000
-0.007 0.000 5.567
Dy Cd Pd
1 2 2
Cartesian
0.000 0.000 0.000 Dy
2.738 0.000 3.551 Cd
5.487 0.000 2.016 Cd
2.744 0.000 0.806 Pd
5.481 0.000 4.761 Pd
```

---

Entry 18:
Here is Dy4Cd3Pd after structural relaxation from the Alexandria database. Energies are from PBE.

Values from the calculation:
- formation energy from the elements (eV/atom) = -0.461
- density (g/cm³) = 9.11
- D(E_F) (states/eV/cell) = 6.701
- raw total energy (eV per cell) = -30.03
- SG = P4/mmm, No. 123

POSCAR file:
```
Dy4Cd3Pd
1.0
3.661 0.000 0.000
0.000 3.661 0.000
0.000 0.000 14.868
Dy Cd Pd
4 3 1
Cartesian
0.000 0.000 1.653 Dy
0.000 0.000 5.509 Dy
0.000 0.000 9.359 Dy
0.000 0.000 13.215 Dy
1.830 1.830 3.623 Cd
1.830 1.830 7.434 Cd
1.830 1.830 11.245 Cd
1.830 1.830 0.000 Pd
```

---

Entry 19:
Here is Dy11Cd9Pd4 after structural relaxation from the Alexandria database. Energies are from PBE.

Values from the calculation:
- formation energy from the elements (eV/atom) = -0.543
- density (g/cm³) = 9.13
- D(E_F) (states/eV/cell) = 20.088
- raw total energy (eV per cell) = -92.67
- SG = Cmmm, No. 65

POSCAR file:
```
Dy11Cd9Pd4
1.0
7.313 -11.009 0.000
7.313 11.009 0.000
0.000 0.000 3.641
Dy Cd Pd
11 9 4
Cartesian
0.000 0.000 0.000 Dy
3.564 3.751 0.000 Dy
7.313 7.438 0.000 Dy
4.443 0.000 0.000 Dy
7.313 2.847 0.000 Dy
3.564 -3.751 0.000 Dy
11.063 3.751 0.000 Dy
7.313 -2.847 0.000 Dy
10.183 0.000 0.000 Dy
7.313 -7.438 0.000 Dy
11.063 -3.751 0.000 Dy
2.088 1.586 1.820 Cd
5.778 5.255 1.820 Cd
2.088 -1.586 1.820 Cd
8.848 5.255 1.820 Cd
7.313 0.000 1.820 Cd
5.778 -5.255 1.820 Cd
12.539 1.586 1.820 Cd
8.848 -5.255 1.820 Cd
12.539 -1.586 1.820 Cd
5.117 2.203 1.820 Pd
5.117 -2.203 1.820 Pd
9.509 2.203 1.820 Pd
9.509 -2.203 1.820 Pd
```

---

Entry 20:
Here is Dy2CdPd4 after structural relaxation from the Alexandria database. Energies are from PBE.

Values from the calculation:
- E above lowest polymorph (meV per atom) = 28
- formation energy from the elements (eV/atom) = -0.670
- density (g/cm³) = 10.05
- D(E_F) (states/eV/cell) = 2.991
- raw total energy (eV per cell) = -35.58
- SG = C2/m, No. 12

POSCAR file:
```
Dy2CdPd4
1.0
4.469 -2.159 0.000
4.469 2.159 0.000
-3.652 0.000 7.388
Dy Cd Pd
2 1 4
Cartesian
-0.617 0.000 1.693 Dy
5.903 0.000 5.695 Dy
2.643 0.000 3.694 Cd
-0.203 0.000 4.640 Pd
2.040 0.000 0.870 Pd
3.247 0.000 6.518 Pd
5.489 0.000 2.748 Pd
```

---

Entry 21:
Here is Dy6Cd5Pd after structural relaxation from the Alexandria database. Energies are from PBE.

Values from the calculation:
- formation energy from the elements (eV/atom) = -0.404
- density (g/cm³) = 8.98
- D(E_F) (states/eV/cell) = 9.590
- raw total energy (eV per cell) = -42.23
- SG = P2/m, No. 10

POSCAR file:
```
Dy6Cd5Pd
1.0
5.231 0.000 0.000
0.000 7.405 0.000
-2.603 0.000 7.848
Dy Cd Pd
6 5 1
Cartesian
0.000 1.755 0.000 Dy
0.000 5.651 0.000 Dy
0.009 1.806 5.347 Dy
0.009 5.599 5.347 Dy
2.619 1.806 2.502 Dy
2.619 5.599 2.502 Dy
0.004 3.703 2.679 Cd
0.003 0.000 2.747 Cd
2.615 3.703 0.000 Cd
2.625 0.000 5.101 Cd
2.624 3.703 5.169 Cd
2.615 0.000 0.000 Pd
```